Record 1
AcTh2Pt after structural relaxation, computed with PBE.

Cell lengths 3.743, 3.743, 8.690 Å; angles 90.00, 90.00, 90.00 degrees
Element x y z (fractional)
Ac 0.500 0.500 0.500
Pt 0.500 0.500 0.000
Th 0.000 0.000 0.809
Th 0.000 0.000 0.191

- theoretical density (g/cm³) = 12.08
- magnetization (μB/atom) = 0.000
- energy above the most stable polymorph in this dataset (eV per formula unit) = 0.000
- V (Å³ per cell) = 121.8

Record 2
Ca2ReSb after structural relaxation, computed with PBE.

Cell lengths 3.505, 3.505, 8.633 Å; angles 90.00, 90.00, 90.00 degrees
Element x y z (fractional)
Re 0.000 0.000 0.554
Ca 0.000 0.000 0.937
Ca 0.500 0.500 0.319
Sb 0.500 0.500 0.690

- theoretical density (g/cm³) = 6.08
- magnetization (μB/atom) = 0.000
- raw formation energy (meV per atom) = 94
- V (Å³ per cell) = 106.1

Record 3
NdGdSiPd after structural relaxation, computed with PBE.

Cell lengths 5.086, 5.086, 5.086 Å; angles 60.00, 60.00, 60.00 degrees
Element x y z (fractional)
Si 0.750 0.750 0.750
Gd 0.500 0.500 0.500
Nd 0.000 0.000 0.000
Pd 0.250 0.250 0.250

- theoretical density (g/cm³) = 7.78
- magnetization (μB/atom) = 1.817
- raw formation energy (meV per atom) = -658
- V (Å³ per cell) = 93.0

Record 4
ZnPtRh2 after structural relaxation, computed with PBE.

Cell lengths 4.700, 4.700, 2.756 Å; angles 90.00, 90.00, 107.79 degrees
Element x y z (fractional)
Zn 0.500 0.000 0.500
Rh 0.000 0.000 0.000
Rh 0.500 0.500 0.000
Pt 0.000 0.500 0.500

- final energy (eV/atom) = -5.71
- theoretical density (g/cm³) = 13.36
- magnetization (μB/atom) = 0.000
- V (Å³ per cell) = 58.0

Record 5
La3Nd3Al2Tl after structural relaxation, computed with PBE.

Cell lengths 3.825, 9.171, 9.171 Å; angles 120.00, 90.00, 90.00 degrees
Element x y z (fractional)
La 0.500 0.709 0.000
La 0.500 0.000 0.709
La 0.500 0.291 0.291
Nd 0.000 0.608 0.608
Nd 0.000 0.000 0.392
Nd 0.000 0.392 0.000
Al 0.500 0.667 0.333
Al 0.500 0.333 0.667
Tl 0.000 0.000 0.000

- final energy (eV/atom) = -4.54
- theoretical density (g/cm³) = 6.60
- magnetization (μB/atom) = 0.001
- V (Å³ per cell) = 278.6

Record 6
PdSeI after structural relaxation, computed with PBE.

Cell lengths 3.831, 5.241, 9.663 Å; angles 90.00, 100.86, 90.00 degrees
Element x y z (fractional)
Pd 0.306 0.250 0.117
Pd 0.694 0.750 0.883
Se 0.723 0.250 0.943
Se 0.277 0.750 0.057
I 0.901 0.250 0.318
I 0.099 0.750 0.682

- theoretical density (g/cm³) = 5.44
- magnetization (μB/atom) = 0.000
- raw formation energy (meV per atom) = -249
- V (Å³ per cell) = 190.5